Entry from the Alexandria database: a geometry-optimized Ba2Mn3 structure (GGA-PBE).

Its space group is R-3m. Its formation enthalpy at 0 K is 0.82 eV/atom.

a b c (Å): 10.9513 10.9513 10.9513
angles (deg): 20.14 20.14 20.14
Sites, in units of the cell vectors:
Mn (0.0000, 0.0000, 0.0000)
Ba (0.5795, 0.5795, 0.5795)
Ba (0.4205, 0.4205, 0.4205)
Mn (0.8319, 0.8319, 0.8319)
Mn (0.1681, 0.1681, 0.1681)

=====

Entry from the Alexandria database: a geometry-optimized Ca2TeAu structure (GGA-PBE).

Its space group is Amm2. The calculation puts the energy relative to the elements, uncorrected at -4.2 eV per formula unit. The excess energy over the best structure of this formula in the dataset comes out at 0.43 eV/f.u.

a b c (Å): 6.2501 4.4276 4.4307
angles (deg): 90.01 90.00 90.00
Sites, in units of the cell vectors:
Ca (0.5000, 0.3746, 0.3744)
Ca (0.0000, 0.8754, 0.8756)
Te (0.0000, 0.3754, 0.3756)
Au (0.5000, 0.8745, 0.8743)

=====

Entry from the Alexandria database: a geometry-optimized Sr2Ag2Sn3 structure (GGA-PBE).

Its space group is C2/m. Its formation enthalpy at 0 K is -0.38 eV/atom. The excess energy over the best structure of this formula in the dataset comes out at 0.53 eV/f.u.

a b c (Å): 4.7149 6.2717 7.7120
angles (deg): 111.05 90.00 112.08
Sites, in units of the cell vectors:
Ag (0.1452, 0.2905, 0.2491)
Sn (0.3890, 0.7779, 0.5545)
Sr (0.8514, 0.7028, 0.2159)
Sr (0.1486, 0.2972, 0.7841)
Sn (0.6110, 0.2221, 0.4455)
Sn (0.5000, 0.0000, 0.0000)
Ag (0.8548, 0.7095, 0.7509)

=====

Entry from the Alexandria database: a geometry-optimized BeAlFe structure (GGA-PBE).

Its space group is P-62m. Its formation enthalpy at 0 K is 0.02 eV/atom. The excess energy over the best structure of this formula in the dataset comes out at 0.72 eV/f.u.

a b c (Å): 3.8376 5.5172 5.5172
angles (deg): 120.00 90.00 90.00
Sites, in units of the cell vectors:
Be (0.5000, 0.2226, 0.2226)
Fe (0.5000, 0.3333, 0.6667)
Al (0.0000, 0.4683, 0.0000)
Be (0.5000, 0.7774, 0.0000)
Fe (0.5000, 0.6667, 0.3333)
Al (0.0000, 0.0000, 0.4683)
Al (0.0000, 0.5317, 0.5317)
Fe (0.0000, 0.0000, 0.0000)
Be (0.5000, 0.0000, 0.7774)

=====

Entry from the Alexandria database: a geometry-optimized NaPdF structure (GGA-PBE).

Its space group is P2_1/m. The calculation puts the energy relative to the elements, uncorrected at -3.7 eV per formula unit. The excess energy over the best structure of this formula in the dataset comes out at 0.71 eV/f.u.

a b c (Å): 3.4101 4.6464 6.6870
angles (deg): 110.99 90.00 90.00
Sites, in units of the cell vectors:
F (0.9300, 0.7776, 0.4798)
Pd (0.9300, 0.5051, 0.9264)
Pd (0.4300, 0.6471, 0.2184)
Na (0.9300, 0.2384, 0.4014)
Na (0.4300, 0.9136, 0.7434)
F (0.4300, 0.3748, 0.6652)

=====

Entry from the Alexandria database: a geometry-optimized FeSi4Pt structure (GGA-PBE).

Its space group is F-43m. The calculation puts the energy relative to the elements, uncorrected at 2.7 eV per formula unit.

a b c (Å): 4.9342 4.9342 4.9342
angles (deg): 60.00 60.00 60.00
Sites, in units of the cell vectors:
Pt (0.0000, 0.0000, 0.0000)
Si (0.8743, 0.3752, 0.3752)
Si (0.3752, 0.8743, 0.3752)
Si (0.3752, 0.3752, 0.3752)
Fe (0.7500, 0.7500, 0.7500)
Si (0.3752, 0.3752, 0.8743)

=====

Entry from the Alexandria database: a geometry-optimized AlCdPd structure (GGA-PBE).

Its space group is I4mm. Its formation enthalpy at 0 K is -0.43 eV/atom. The excess energy over the best structure of this formula in the dataset comes out at 0.00 eV/f.u.

a b c (Å): 3.2794 3.2794 5.2956
angles (deg): 108.04 108.04 90.00
Sites, in units of the cell vectors:
Cd (0.9985, 0.9985, 0.9969)
Pd (0.3093, 0.3093, 0.6187)
Al (0.6922, 0.6922, 0.3844)

=====

Entry from the Alexandria database: a geometry-optimized Li2WAu structure (GGA-PBE).

Its space group is P4/mmm. Its formation enthalpy at 0 K is 0.49 eV/atom. The excess energy over the best structure of this formula in the dataset comes out at 1.59 eV/f.u.

a b c (Å): 4.2314 3.8182 3.8182
angles (deg): 90.00 90.00 90.00
Sites, in units of the cell vectors:
Li (0.0000, 0.0000, 0.0000)
Au (0.5000, 0.0000, 0.5000)
W (0.5000, 0.5000, 0.0000)
Li (0.0000, 0.5000, 0.5000)

=====

Entry from the Alexandria database: a geometry-optimized Zn2FeOs structure (GGA-PBE).

Its space group is P4/mmm. Its formation enthalpy at 0 K is 0.26 eV/atom. The excess energy over the best structure of this formula in the dataset comes out at 0.80 eV/f.u.

a b c (Å): 3.1426 3.1426 5.4651
angles (deg): 90.00 90.00 90.00
Sites, in units of the cell vectors:
Zn (0.0000, 0.0000, 0.0046)
Os (0.5000, 0.5000, 0.7500)
Fe (0.5000, 0.5000, 0.2500)
Zn (0.0000, 0.0000, 0.4954)

=====

Entry from the Alexandria database: a geometry-optimized K3Rb2Au structure (GGA-PBE).

Its space group is Cmcm. Its formation enthalpy at 0 K is -0.06 eV/atom. The excess energy over the best structure of this formula in the dataset comes out at 0.00 eV/f.u.

a b c (Å): 8.4184 9.3744 9.3744
angles (deg): 77.85 90.00 90.00
Sites, in units of the cell vectors:
Au (0.7500, 0.1451, 0.1451)
K (0.0000, 0.1564, 0.8436)
K (0.0000, 0.8436, 0.1564)
K (0.7500, 0.3878, 0.3878)
K (0.5000, 0.8436, 0.1564)
Rb (0.2500, 0.4649, 0.0943)
Rb (0.7500, 0.5351, 0.9057)
Au (0.2500, 0.8549, 0.8549)
Rb (0.7500, 0.9057, 0.5351)
K (0.2500, 0.6122, 0.6122)
K (0.5000, 0.1564, 0.8436)
Rb (0.2500, 0.0943, 0.4649)

=====

Entry from the Alexandria database: a geometry-optimized Na2NdAlSn2 structure (GGA-PBE).

Its space group is Pmc2_1. Its formation enthalpy at 0 K is -0.37 eV/atom.

a b c (Å): 4.6146 7.7686 9.2556
angles (deg): 90.00 90.00 90.00
Sites, in units of the cell vectors:
Na (0.0000, 0.3412, 0.1536)
Al (0.5000, 0.1592, 0.6676)
Nd (0.0000, 0.9968, 0.4508)
Sn (0.0000, 0.7405, 0.1779)
Sn (0.5000, 0.7822, 0.6249)
Nd (0.0000, 0.4968, 0.5492)
Na (0.0000, 0.8412, 0.8464)
Al (0.5000, 0.6592, 0.3324)
Na (0.5000, 0.5256, 0.9177)
Sn (0.5000, 0.2822, 0.3751)
Na (0.5000, 0.0256, 0.0823)
Sn (0.0000, 0.2405, 0.8221)

=====

Entry from the Alexandria database: a geometry-optimized InSn5Au4 structure (GGA-PBE).

Its space group is Immm. Its formation enthalpy at 0 K is -0.13 eV/atom. The excess energy over the best structure of this formula in the dataset comes out at 0.00 eV/f.u.

a b c (Å): 4.4809 7.4491 9.0232
angles (deg): 114.35 104.38 90.00
Sites, in units of the cell vectors:
Sn (0.8278, 0.5488, 0.6555)
Sn (0.1722, 0.8934, 0.3444)
In (0.5000, 0.0000, 0.0000)
Sn (0.8278, 0.1066, 0.6556)
Au (0.2951, 0.2950, 0.5901)
Sn (0.5000, 0.5000, 0.0000)
Au (0.0000, 0.7660, 0.9999)
Au (0.7049, 0.7050, 0.4099)
Au (0.0000, 0.2340, 0.0001)
Sn (0.1722, 0.4512, 0.3445)

=====

| no. | raw total energy (eV/atom) |
| --- | --- |
| 1 | -5.4544 |
| 2 | -3.6511 |
| 3 | -3.3903 |
| 4 | -5.2872 |
| 5 | -4.0220 |
| 6 | -5.5882 |
| 7 | -3.7131 |
| 8 | -4.5255 |
| 9 | -5.2999 |
| 10 | -1.4823 |
| 11 | -3.5643 |
| 12 | -3.7159 |